The following is a DFT calculation (PBE-GGA) of an optimized crystal structure of BiCS2Cl.

Calculated values
**N(E_F)**: 1.29 states/eV/atom
**Uncorrected formation energy**: 1.762 eV/atom
**Space group**: P4/mmm

Unit cell a=5.2861 b=5.2861 c=5.2444 alpha=90.00 beta=90.00 gamma=90.00
Closest atoms and distances in Å follow each position.
Positions (direct):
C (0.5000, 0.5000, 0.5000)  8 S 3.72, 4 Cl 3.74
S (0.5000, 0.0000, 0.0000)  2 Bi 2.64
S (0.0000, 0.5000, 0.0000)  2 Bi 2.64
Cl (0.0000, 0.0000, 0.5000)  2 Bi 2.62
Bi (0.0000, 0.0000, 0.0000)  2 Cl 2.62, 4 S 2.64